No. 1
Below is a geometry-optimized LaAl4Ir2Pd structure, with properties calculated at the PBE level.

Geometry as CIF:
```
data_LaAl4Ir2Pd
_chemical_formula_sum 'La3 Al12 Ir6 Pd3'
_symmetry_space_group_name_H-M 'R -3 m'
_symmetry_Int_Tables_number 166
_symmetry_space_group_name_Hall '-R 3 2"'
_cell_length_a 4.2643
_cell_length_b 4.2643
_cell_length_c 27.1957
_cell_angle_alpha 90.00
_cell_angle_beta 90.00
_cell_angle_gamma 120.00
loop_
_atom_site_label
_atom_site_fract_x
_atom_site_fract_y
_atom_site_fract_z
La1 0.0000 0.0000 0.0000
Al1 0.0000 0.0000 0.1313
Al2 0.0000 0.0000 0.4068
Ir1 0.0000 0.0000 0.2303
Pd1 0.0000 0.0000 0.5000
```

Properties
N(E_F), states/eV/cell: 10.657
ΔE_f, meV/atom: -806


No. 2
Below is a geometry-optimized Ac2Pr2Nd4Sm structure, with properties calculated at the PBE level.

Geometry as CIF:
```
data_Ac2Pr2Nd4Sm
_chemical_formula_sum 'Ac4 Pr4 Nd8 Sm2'
_symmetry_space_group_name_H-M 'C 1 2/m 1'
_symmetry_Int_Tables_number 12
_symmetry_space_group_name_Hall '-C 2y'
_cell_length_a 19.576
_cell_length_b 3.795
_cell_length_c 10.096
_cell_angle_alpha 90.00
_cell_angle_beta 115.73
_cell_angle_gamma 90.00
loop_
_atom_site_label
_atom_site_fract_x
_atom_site_fract_y
_atom_site_fract_z
Ac1 0.146 0.000 0.165
Pr1 0.165 0.500 0.504
Nd1 0.018 0.500 0.821
Nd2 0.184 0.000 0.831
Sm1 0.000 0.000 0.500
```

Properties
N(E_F), states/eV/cell: 24.374
ΔE_f, meV/atom: 26


No. 3
Below is a geometry-optimized Y3TmTe4 structure, with properties calculated at the PBE level.

Geometry as CIF:
```
data_Y3TmTe4
_chemical_formula_sum 'Y6 Tm2 Te8'
_symmetry_space_group_name_H-M 'P 1 2/c 1'
_symmetry_Int_Tables_number 13
_symmetry_space_group_name_Hall '-P 2yc'
_cell_length_a 7.562
_cell_length_b 8.643
_cell_length_c 7.547
_cell_angle_alpha 90.00
_cell_angle_beta 109.33
_cell_angle_gamma 90.00
loop_
_atom_site_label
_atom_site_fract_x
_atom_site_fract_y
_atom_site_fract_z
Y1 0.000 0.122 0.250
Y2 0.000 0.373 0.750
Y3 0.500 0.123 0.750
Tm1 0.500 0.374 0.250
Te1 0.252 0.128 0.002
Te2 0.254 0.377 0.500
```

Properties
N(E_F), states/eV/cell: 8.350
E above lowest polymorph, meV/atom: 0.0


No. 4
Below is a geometry-optimized Na3Au5I12 structure, with properties calculated at the PBE level.

Geometry as CIF:
```
data_Na3Au5I12
_chemical_formula_sum 'Na24 Au40 I96'
_symmetry_space_group_name_H-M 'I a -3 d'
_symmetry_Int_Tables_number 230
_symmetry_space_group_name_Hall '-I 4bd 2c 3'
_cell_length_a 18.456
_cell_length_b 18.456
_cell_length_c 18.456
_cell_angle_alpha 90.00
_cell_angle_beta 90.00
_cell_angle_gamma 90.00
loop_
_atom_site_label
_atom_site_fract_x
_atom_site_fract_y
_atom_site_fract_z
Na1 0.000 0.250 0.125
Au1 0.000 0.000 0.000
Au2 0.000 0.250 0.375
I1 0.018 0.037 0.652
```

Properties
N(E_F), states/eV/cell: 79.543
E, eV per atom: -2.272


No. 5
Below is a geometry-optimized K2ZnRe structure, with properties calculated at the PBE level.

Geometry as CIF:
```
data_K2ZnRe
_chemical_formula_sum 'K2 Zn1 Re1'
_symmetry_space_group_name_H-M 'P m m 2'
_symmetry_Int_Tables_number 25
_symmetry_space_group_name_Hall 'P 2 -2'
_cell_length_a 2.829
_cell_length_b 4.247
_cell_length_c 10.099
_cell_angle_alpha 90.00
_cell_angle_beta 90.00
_cell_angle_gamma 90.00
loop_
_atom_site_label
_atom_site_fract_x
_atom_site_fract_y
_atom_site_fract_z
K1 0.000 0.000 0.000
K2 0.500 0.500 0.422
Zn1 0.500 0.500 0.744
Re1 0.000 0.000 0.678
```

Properties
N(E_F), states/eV/cell: 3.253
ΔE_f, meV/atom: 822


No. 6
Below is a geometry-optimized DyAg8Au6 structure, with properties calculated at the PBE level.

Geometry as CIF:
```
data_DyAg8Au6
_chemical_formula_sum 'Dy3 Ag24 Au18'
_symmetry_space_group_name_H-M 'R -3'
_symmetry_Int_Tables_number 148
_symmetry_space_group_name_Hall '-R 3'
_cell_length_a 7.9227
_cell_length_b 7.9227
_cell_length_c 16.7402
_cell_angle_alpha 90.00
_cell_angle_beta 90.00
_cell_angle_gamma 120.00
loop_
_atom_site_label
_atom_site_fract_x
_atom_site_fract_y
_atom_site_fract_z
Dy1 0.0000 0.0000 0.0000
Ag1 0.0000 0.0000 0.2508
Ag2 0.0054 0.3131 0.1298
Au1 0.0054 0.2868 0.6270
```

Properties
N(E_F), states/eV/cell: 11.487
ΔE_f, meV/atom: -72


No. 7
Below is a geometry-optimized AcPm2Ag2Hg2 structure, with properties calculated at the PBE level.

Geometry as CIF:
```
data_AcPm2Ag2Hg2
_chemical_formula_sum 'Ac3 Pm6 Ag6 Hg6'
_symmetry_space_group_name_H-M 'R -3 m'
_symmetry_Int_Tables_number 166
_symmetry_space_group_name_Hall '-R 3 2"'
_cell_length_a 4.9470
_cell_length_b 4.9470
_cell_length_c 28.1297
_cell_angle_alpha 90.00
_cell_angle_beta 90.00
_cell_angle_gamma 120.00
loop_
_atom_site_label
_atom_site_fract_x
_atom_site_fract_y
_atom_site_fract_z
Ac1 0.0000 0.0000 0.0000
Pm1 0.0000 0.0000 0.1268
Ag1 0.0000 0.0000 0.4081
Hg1 0.0000 0.0000 0.2533
```

Properties
N(E_F), states/eV/cell: 18.095
ΔE_f, meV/atom: -283


No. 8
Below is a geometry-optimized Nb6ReTc structure, with properties calculated at the PBE level.

Geometry as CIF:
```
data_Nb6ReTc
_chemical_formula_sum 'Nb18 Re3 Tc3'
_symmetry_space_group_name_H-M 'R -3 m'
_symmetry_Int_Tables_number 166
_symmetry_space_group_name_Hall '-R 3 2"'
_cell_length_a 9.4827
_cell_length_b 9.4827
_cell_length_c 5.4600
_cell_angle_alpha 90.00
_cell_angle_beta 90.00
_cell_angle_gamma 120.00
loop_
_atom_site_label
_atom_site_fract_x
_atom_site_fract_y
_atom_site_fract_z
Nb1 0.0000 0.5000 0.2503
Re1 0.0000 0.0000 0.0000
Tc1 0.0000 0.0000 0.5000
```

Properties
N(E_F), states/eV/cell: 15.031
ΔE_f, meV/atom: 111
E above lowest polymorph, meV/atom: 311.8


No. 9
Below is a geometry-optimized Ir2SeCl structure, with properties calculated at the PBE level.

Geometry as CIF:
```
data_Ir2SeCl
_chemical_formula_sum 'Ir4 Se2 Cl2'
_symmetry_space_group_name_H-M 'I m m m'
_symmetry_Int_Tables_number 71
_symmetry_space_group_name_Hall '-I 2 2'
_cell_length_a 2.899
_cell_length_b 5.337
_cell_length_c 8.588
_cell_angle_alpha 90.00
_cell_angle_beta 90.00
_cell_angle_gamma 90.00
loop_
_atom_site_label
_atom_site_fract_x
_atom_site_fract_y
_atom_site_fract_z
Ir1 0.000 0.000 0.238
Se1 0.000 0.500 0.500
Cl1 0.000 0.500 0.000
```

Properties
N(E_F), states/eV/cell: 7.803
E above lowest polymorph, meV/atom: 753.6


No. 10
Below is a geometry-optimized Y5Bi5Te structure, with properties calculated at the PBE level.

Geometry as CIF:
```
data_Y5Bi5Te
_chemical_formula_sum 'Y10 Bi10 Te2'
_symmetry_space_group_name_H-M 'C 1 2/m 1'
_symmetry_Int_Tables_number 12
_symmetry_space_group_name_Hall '-C 2y'
_cell_length_a 14.034
_cell_length_b 6.218
_cell_length_c 8.893
_cell_angle_alpha 90.00
_cell_angle_beta 108.81
_cell_angle_gamma 90.00
loop_
_atom_site_label
_atom_site_fract_x
_atom_site_fract_y
_atom_site_fract_z
Y1 0.000 0.000 0.000
Y2 0.169 0.500 0.334
Y3 0.173 0.500 0.836
Bi1 0.000 0.500 0.500
Bi2 0.156 0.000 0.816
Bi3 0.157 0.000 0.340
Te1 0.000 0.500 0.000
```

Properties
N(E_F), states/eV/cell: 9.397
E, eV per atom: -5.774


No. 11
Below is a geometry-optimized Sr2MgB2Rh5 structure, with properties calculated at the PBE level.

Geometry as CIF:
```
data_Sr2MgB2Rh5
_chemical_formula_sum 'Sr4 Mg2 B4 Rh10'
_symmetry_space_group_name_H-M 'P 4/m b m'
_symmetry_Int_Tables_number 127
_symmetry_space_group_name_Hall '-P 4 2ab'
_cell_length_a 10.187
_cell_length_b 10.187
_cell_length_c 3.055
_cell_angle_alpha 90.00
_cell_angle_beta 90.00
_cell_angle_gamma 90.00
loop_
_atom_site_label
_atom_site_fract_x
_atom_site_fract_y
_atom_site_fract_z
Sr1 0.179 0.321 0.000
Mg1 0.000 0.000 0.000
B1 0.120 0.620 0.000
Rh1 0.000 0.500 0.500
Rh2 0.069 0.767 0.500
```

Properties
N(E_F), states/eV/cell: 7.279
ΔE_f, meV/atom: -380


No. 12
Below is a geometry-optimized RbHf3Pd structure, with properties calculated at the PBE level.

Geometry as CIF:
```
data_RbHf3Pd
_chemical_formula_sum 'Rb1 Hf3 Pd1'
_symmetry_space_group_name_H-M 'P m -3 m'
_symmetry_Int_Tables_number 221
_symmetry_space_group_name_Hall '-P 4 2 3'
_cell_length_a 5.210
_cell_length_b 5.210
_cell_length_c 5.210
_cell_angle_alpha 90.00
_cell_angle_beta 90.00
_cell_angle_gamma 90.00
loop_
_atom_site_label
_atom_site_fract_x
_atom_site_fract_y
_atom_site_fract_z
Rb1 0.000 0.000 0.000
Hf1 0.000 0.500 0.500
Pd1 0.500 0.500 0.500
```

Properties
N(E_F), states/eV/cell: 6.423
ΔE_f, meV/atom: 784
E above lowest polymorph, meV/atom: 0.0


No. 13
Below is a geometry-optimized ZrCu2P structure, with properties calculated at the PBE level.

Geometry as CIF:
```
data_ZrCu2P
_chemical_formula_sum 'Zr1 Cu2 P1'
_symmetry_space_group_name_H-M 'P 1 2/m 1'
_symmetry_Int_Tables_number 10
_symmetry_space_group_name_Hall '-P 2y'
_cell_length_a 3.272
_cell_length_b 4.079
_cell_length_c 4.758
_cell_angle_alpha 90.00
_cell_angle_beta 99.78
_cell_angle_gamma 90.00
loop_
_atom_site_label
_atom_site_fract_x
_atom_site_fract_y
_atom_site_fract_z
Zr1 0.000 0.000 0.000
Cu1 0.431 0.500 0.742
P1 0.500 0.000 0.500
```

Properties
N(E_F), states/eV/cell: 1.467
ΔE_f, meV/atom: -302


No. 14
Below is a geometry-optimized CrTe2P structure, with properties calculated at the PBE level.

Geometry as CIF:
```
data_CrTe2P
_chemical_formula_sum 'Cr4 Te8 P4'
_symmetry_space_group_name_H-M 'F -4 3 m'
_symmetry_Int_Tables_number 216
_symmetry_space_group_name_Hall 'F -4 2 3'
_cell_length_a 7.026
_cell_length_b 7.026
_cell_length_c 7.026
_cell_angle_alpha 90.00
_cell_angle_beta 90.00
_cell_angle_gamma 90.00
loop_
_atom_site_label
_atom_site_fract_x
_atom_site_fract_y
_atom_site_fract_z
Cr1 0.000 0.000 0.000
Te1 0.000 0.000 0.500
Te2 0.250 0.250 0.250
P1 0.250 0.250 0.750
```

Properties
N(E_F), states/eV/cell: 16.564
E, eV per atom: -4.630


No. 15
Below is a geometry-optimized HfUIr2 structure, with properties calculated at the PBE level.

Geometry as CIF:
```
data_HfUIr2
_chemical_formula_sum 'Hf1 U1 Ir2'
_symmetry_space_group_name_H-M 'P 4/m m m'
_symmetry_Int_Tables_number 123
_symmetry_space_group_name_Hall '-P 4 2'
_cell_length_a 3.157
_cell_length_b 3.157
_cell_length_c 7.415
_cell_angle_alpha 90.00
_cell_angle_beta 90.00
_cell_angle_gamma 90.00
loop_
_atom_site_label
_atom_site_fract_x
_atom_site_fract_y
_atom_site_fract_z
Hf1 0.000 0.000 0.000
U1 0.000 0.000 0.500
Ir1 0.500 0.500 0.227
```

Properties
N(E_F), states/eV/cell: 4.840
ΔE_f, meV/atom: -657


No. 16
Below is a geometry-optimized Mg2Tl2Bi structure, with properties calculated at the PBE level.

Geometry as CIF:
```
data_Mg2Tl2Bi
_chemical_formula_sum 'Mg4 Tl4 Bi2'
_symmetry_space_group_name_H-M 'P 4/m b m'
_symmetry_Int_Tables_number 127
_symmetry_space_group_name_Hall '-P 4 2ab'
_cell_length_a 8.743
_cell_length_b 8.743
_cell_length_c 3.521
_cell_angle_alpha 90.00
_cell_angle_beta 90.00
_cell_angle_gamma 90.00
loop_
_atom_site_label
_atom_site_fract_x
_atom_site_fract_y
_atom_site_fract_z
Mg1 0.160 0.340 0.000
Tl1 0.138 0.638 0.500
Bi1 0.000 0.000 0.500
```

Properties
N(E_F), states/eV/cell: 3.655
ΔE_f, meV/atom: 21
E above lowest polymorph, meV/atom: 24.2


No. 17
Below is a geometry-optimized K2NaRhI structure, with properties calculated at the PBE level.

Geometry as CIF:
```
data_K2NaRhI
_chemical_formula_sum 'K2 Na1 Rh1 I1'
_symmetry_space_group_name_H-M 'P 4/m m m'
_symmetry_Int_Tables_number 123
_symmetry_space_group_name_Hall '-P 4 2'
_cell_length_a 6.677
_cell_length_b 6.677
_cell_length_c 4.996
_cell_angle_alpha 90.00
_cell_angle_beta 90.00
_cell_angle_gamma 90.00
loop_
_atom_site_label
_atom_site_fract_x
_atom_site_fract_y
_atom_site_fract_z
K1 0.000 0.500 0.000
Na1 0.000 0.000 0.500
Rh1 0.500 0.500 0.500
I1 0.500 0.500 0.000
```

Properties
N(E_F), states/eV/cell: 4.455
E, eV per atom: -2.447


No. 18
Below is a geometry-optimized SrSbPb structure, with properties calculated at the PBE level.

Geometry as CIF:
```
data_SrSbPb
_chemical_formula_sum 'Sr2 Sb2 Pb2'
_symmetry_space_group_name_H-M 'I 4 m m'
_symmetry_Int_Tables_number 107
_symmetry_space_group_name_Hall 'I 4 -2'
_cell_length_a 4.184
_cell_length_b 4.184
_cell_length_c 11.422
_cell_angle_alpha 90.00
_cell_angle_beta 90.00
_cell_angle_gamma 90.00
loop_
_atom_site_label
_atom_site_fract_x
_atom_site_fract_y
_atom_site_fract_z
Sr1 0.000 0.000 0.000
Sb1 0.000 0.000 0.684
Pb1 0.000 0.000 0.300
```

Properties
N(E_F), states/eV/cell: 4.040
E above lowest polymorph, meV/atom: 108.6


No. 19
Below is a geometry-optimized InAs2Se2 structure, with properties calculated at the PBE level.

Geometry as CIF:
```
data_InAs2Se2
_chemical_formula_sum 'In2 As4 Se4'
_symmetry_space_group_name_H-M 'I 4/m m m'
_symmetry_Int_Tables_number 139
_symmetry_space_group_name_Hall '-I 4 2'
_cell_length_a 5.372
_cell_length_b 5.372
_cell_length_c 8.627
_cell_angle_alpha 90.00
_cell_angle_beta 90.00
_cell_angle_gamma 90.00
loop_
_atom_site_label
_atom_site_fract_x
_atom_site_fract_y
_atom_site_fract_z
In1 0.000 0.000 0.000
As1 0.000 0.000 0.334
Se1 0.000 0.500 0.250
```

Properties
N(E_F), states/eV/cell: 3.745
E above lowest polymorph, meV/atom: 60.2


No. 20
Below is a geometry-optimized CuReIr3 structure, with properties calculated at the PBE level.

Geometry as CIF:
```
data_CuReIr3
_chemical_formula_sum 'Cu1 Re1 Ir3'
_symmetry_space_group_name_H-M 'P m -3 m'
_symmetry_Int_Tables_number 221
_symmetry_space_group_name_Hall '-P 4 2 3'
_cell_length_a 4.390
_cell_length_b 4.390
_cell_length_c 4.390
_cell_angle_alpha 90.00
_cell_angle_beta 90.00
_cell_angle_gamma 90.00
loop_
_atom_site_label
_atom_site_fract_x
_atom_site_fract_y
_atom_site_fract_z
Cu1 0.000 0.000 0.000
Re1 0.500 0.500 0.500
Ir1 0.000 0.000 0.500
```

Properties
N(E_F), states/eV/cell: 6.691
ΔE_f, meV/atom: 1860
E above lowest polymorph, meV/atom: 56.0


No. 21
Below is a geometry-optimized CaMnTe2 structure, with properties calculated at the PBE level.

Geometry as CIF:
```
data_CaMnTe2
_chemical_formula_sum 'Ca2 Mn2 Te4'
_symmetry_space_group_name_H-M 'A m m 2'
_symmetry_Int_Tables_number 38
_symmetry_space_group_name_Hall 'A 2 -2'
_cell_length_a 4.566
_cell_length_b 4.175
_cell_length_c 13.537
_cell_angle_alpha 90.00
_cell_angle_beta 90.00
_cell_angle_gamma 90.00
loop_
_atom_site_label
_atom_site_fract_x
_atom_site_fract_y
_atom_site_fract_z
Ca1 0.000 0.000 0.000
Mn1 0.500 0.000 0.778
Te1 0.000 0.000 0.674
Te2 0.500 0.000 0.415
```

Properties
N(E_F), states/eV/cell: 0.137
E above lowest polymorph, meV/atom: 59.8


No. 22
Below is a geometry-optimized InSb2Ru structure, with properties calculated at the PBE level.

Geometry as CIF:
```
data_InSb2Ru
_chemical_formula_sum 'In1 Sb2 Ru1'
_symmetry_space_group_name_H-M 'P 4 m m'
_symmetry_Int_Tables_number 99
_symmetry_space_group_name_Hall 'P 4 -2'
_cell_length_a 3.211
_cell_length_b 3.211
_cell_length_c 8.612
_cell_angle_alpha 90.00
_cell_angle_beta 90.00
_cell_angle_gamma 90.00
loop_
_atom_site_label
_atom_site_fract_x
_atom_site_fract_y
_atom_site_fract_z
In1 0.000 0.000 0.000
Sb1 0.000 0.000 0.387
Sb2 0.500 0.500 0.711
Ru1 0.500 0.500 0.207
```

Properties
N(E_F), states/eV/cell: 1.139
E, eV per atom: -5.006